No. 1
KY2Cl after structural relaxation, computed with GGA-PBE.

abc: 11.6612 11.6612 11.6612
angles: 17.91 17.91 17.91
Closest atoms and distances in Å follow each position.
Fractional positions:
Cl (0.2500, 0.2500, 0.2500)  6 Y 3.00
Y (0.5208, 0.5208, 0.5208)  3 Cl 3.00
Y (0.9792, 0.9792, 0.9792)  3 Cl 3.00
K (0.7500, 0.7500, 0.7500)  6 K 3.63

Results
ρ: 3201 kg/m3
Formation energy from raw total energies: -0.34 eV/atom
Electronic total energy: -4.311 eV per atom
Magnetic moment: 0.347 μB per atom
D(E_F): 5.34 states/eV/cell

No. 2
Na2Ge4Ir5 after structural relaxation, computed with GGA-PBE.

abc: 5.7441 5.8324 7.6383
angles: 79.33 67.91 60.50
Closest atoms and distances in Å follow each position.
Fractional positions:
Ir (0.7500, 0.5000, 0.5000)  4 Ge 2.41
Ir (0.0000, 0.5000, 0.0000)  4 Ge 2.55
Ir (0.5000, 0.0000, 0.0000)  4 Ge 2.43
Ir (0.5000, 0.5000, 0.0000)  4 Ge 2.55
Ir (0.2500, 0.5000, 0.5000)  4 Ge 2.41
Ge (0.7852, 0.6928, 0.7369)  5 Ir 2.41-2.55
Ge (0.4779, 0.3072, 0.7369)  5 Ir 2.41-2.55
Ge (0.2148, 0.3072, 0.2631)  5 Ir 2.41-2.55
Ge (0.5221, 0.6928, 0.2631)  5 Ir 2.41-2.55
Na (0.8865, 0.0000, 0.2269)  1 Na 3.21, 6 Ge 3.28-3.53, 10 Ir 3.29-3.50
Na (0.1135, 0.0000, 0.7731)  1 Na 3.21, 6 Ge 3.28-3.53, 10 Ir 3.29-3.50

Results
ρ: 10441 kg/m3
Electronic total energy: -6.136 eV per atom
Magnetic moment: 0.000 μB per atom
DFT formation energy: -0.1896 eV/atom
D(E_F): 3.51 states/eV/cell